No. 1
# AlAs2Ir

A geometry-optimized AlAs2Ir structure (GGA-PBEsol, the Alexandria database).

Unit cell a=2.924 b=3.957 c=6.317 alpha=90.00 beta=90.00 gamma=90.00
Atoms (fractional coordinates):
Al (0.000, 0.000, 0.000)
As (0.000, 0.500, 0.747)
As (0.500, 0.000, 0.371)
Ir (0.500, 0.500, 0.093)

Summary:
Raw total energy   -6.142 eV/atom
V   73 Å³ per cell
Symmetry   Pmm2
Mass density   8.4 g/cm³

No. 2
# ZnIr2Rh

A geometry-optimized ZnIr2Rh structure (GGA-PBEsol, the Alexandria database).

Unit cell a=4.623 b=4.623 c=4.623 alpha=131.30 beta=131.30 gamma=71.34
Atoms (fractional coordinates):
Zn (0.000, 0.000, 0.000)
Ir (0.500, 0.500, 0.000)
Ir (0.750, 0.250, 0.500)
Rh (0.250, 0.750, 0.500)

Summary:
Raw total energy   -7.434 eV/atom
V   55 Å³ per cell
Symmetry   I-4m2
Mass density   16.8 g/cm³

No. 3
# LiZnCu2

A geometry-optimized LiZnCu2 structure (GGA-PBEsol, the Alexandria database).

Unit cell a=3.006 b=3.006 c=5.387 alpha=90.00 beta=90.00 gamma=90.00
Atoms (fractional coordinates):
Li (0.000, 0.000, 0.000)
Zn (0.500, 0.500, 0.268)
Cu (0.000, 0.000, 0.516)
Cu (0.500, 0.500, 0.755)

Summary:
Raw total energy   -3.096 eV/atom
V   49 Å³ per cell
Symmetry   P4mm
Mass density   6.8 g/cm³